# PBE Ca2BeOs, optimized geometry
data_Ca2BeOs
_cell_length_a 3.5059
_cell_length_b 4.7444
_cell_length_c 9.9936
_cell_angle_alpha 90.00
_cell_angle_beta 90.00
_cell_angle_gamma 90.00
_symmetry_space_group_name_H-M 'I m m 2'
_symmetry_Int_Tables_number 44
_symmetry_space_group_name_Hall 'I 2 -2'
loop_
_atom_site_label
_atom_site_type_symbol
_atom_site_fract_x
_atom_site_fract_y
_atom_site_fract_z
Ca1 Ca 0.0000 0.0000 0.0000
Ca2 Ca 0.0000 0.5000 0.2109
Be1 Be 0.0000 0.5000 0.7820
Os1 Os 0.0000 0.0000 0.4156
# energy of formation	0.216	eV per atom
# DOS at the Fermi energy	3.1	states/eV per cell


# PBE CaBeOs2, optimized geometry
data_CaBeOs2
_cell_length_a 5.5152
_cell_length_b 9.0925
_cell_length_c 2.7335
_cell_angle_alpha 90.00
_cell_angle_beta 116.71
_cell_angle_gamma 90.00
_symmetry_space_group_name_H-M 'C 1 2/m 1'
_symmetry_Int_Tables_number 12
_symmetry_space_group_name_Hall '-C 2y'
loop_
_atom_site_label
_atom_site_type_symbol
_atom_site_fract_x
_atom_site_fract_y
_atom_site_fract_z
Ca1 Ca 0.0000 0.0000 0.0000
Be1 Be 0.0000 0.5000 0.0000
Os1 Os 0.2500 0.2500 0.5000
# energy of formation	0.629	eV per atom
# DOS at the Fermi energy	6.7	states/eV per cell


Look up the DOS at the Fermi energy of the second one.
6.7 states/eV per cell


Which value of energy of formation does entry 2 give?
0.629 eV per atom


Among the records above, which one has the lowest energy of formation?
Ca2BeOs


The lowest energy of formation belongs to which entry?
Ca2BeOs